Below is a geometry-optimized NdTm12Sc6 structure, with properties calculated at the GGA-PBE level.

extended XYZ file:
```
19
Lattice="6.350 3.666 4.222 -6.350 3.666 4.222 0.000 -7.332 4.222" Properties=species:S:1:pos:R:3 pbc="T T T"
Nd 0.000 0.000 0.000
Tm -2.382 -4.125 6.333
Tm -4.763 0.000 6.333
Tm -1.782 -1.029 4.796
Tm 1.782 -1.029 4.796
Tm 0.000 2.058 4.796
Tm 2.382 -4.125 6.333
Tm -2.382 4.125 6.333
Tm 0.000 -2.058 7.869
Tm -1.782 1.029 7.869
Tm 1.782 1.029 7.869
Tm 4.763 0.000 6.333
Tm 2.382 4.125 6.333
Sc 0.000 -3.978 4.699
Sc -3.445 1.989 4.699
Sc -3.445 -1.989 7.967
Sc 3.445 1.989 4.699
Sc 3.445 -1.989 7.967
Sc 0.000 3.978 7.967
```

Properties
The formation energy is 0.40 eV per atom. The space group is R-3m. The value obtained for the volume is 31.0 A^3/atom.



Below is a geometry-optimized Ce2Pa3Co2 structure, with properties calculated at the GGA-PBE level.

extended XYZ file:
```
7
Lattice="5.639 -1.749 0.000 5.639 1.749 0.000 -2.903 0.000 7.916" Properties=species:S:1:pos:R:3 pbc="T T T"
Ce 0.984 0.000 2.424
Ce 7.391 0.000 5.492
Pa 4.119 0.000 0.491
Pa 4.187 0.000 3.958
Pa 4.256 0.000 7.425
Co -0.599 0.000 5.645
Co 8.974 0.000 2.271
```

Properties
The formation energy is -0.19 eV per atom. The space group is C2/m. The value obtained for the volume is 22.3 A^3/atom.



Below is a geometry-optimized LiDyCdCo structure, with properties calculated at the GGA-PBE level.

extended XYZ file:
```
4
Lattice="0.000 3.302 3.302 3.302 0.000 3.302 3.302 3.302 0.000" Properties=species:S:1:pos:R:3 pbc="T T T"
Li 0.000 0.000 0.000
Dy 1.651 1.651 1.651
Cd 4.953 4.953 4.953
Co 3.302 3.302 3.302
```

Properties
The formation energy is -0.04 eV per atom. The space group is F-43m. The value obtained for the volume is 18.0 A^3/atom.



Below is a geometry-optimized Sr2AgHg structure, with properties calculated at the GGA-PBE level.

extended XYZ file:
```
8
Lattice="-4.312 4.312 3.964 4.312 -4.312 3.964 4.312 4.312 -3.964" Properties=species:S:1:pos:R:3 pbc="T T T"
Sr 6.468 2.073 -0.991
Sr 2.073 2.156 0.991
Sr -2.156 2.239 2.973
Sr 2.239 2.156 4.955
Ag 0.000 0.000 0.000
Ag 0.000 4.312 1.982
Hg 4.312 0.000 1.982
Hg 0.000 0.000 3.964
```

Properties
The formation energy is -0.16 eV per atom. The space group is I-42d. The value obtained for the volume is 36.9 A^3/atom.



Below is a geometry-optimized AgRhSe2 structure, with properties calculated at the GGA-PBE level.

extended XYZ file:
```
8
Lattice="4.138 -5.272 0.000 4.138 5.272 0.000 -3.620 0.000 4.236" Properties=species:S:1:pos:R:3 pbc="T T T"
Ag 1.423 4.920 3.177
Ag 3.233 -4.920 1.059
Rh 1.423 0.085 3.177
Rh 3.233 -0.085 1.059
Se -0.534 1.490 3.432
Se 1.276 -1.490 1.314
Se 3.379 1.490 2.922
Se 5.189 -1.490 0.804
```

Properties
The uncorrected formation energy is -0.084 eV per atom. The space group is C2/c. The value obtained for the volume is 23.1 A^3/atom.



Below is a geometry-optimized Sc2RhPb structure, with properties calculated at the GGA-PBE level.

extended XYZ file:
```
4
Lattice="1.801 1.040 9.163 -1.801 1.040 9.163 0.000 -2.080 9.163" Properties=species:S:1:pos:R:3 pbc="T T T"
Sc 0.000 0.000 3.031
Sc 0.000 0.000 24.457
Rh 0.000 0.000 13.744
Pb 0.000 0.000 0.000
```

Properties
The formation energy is -0.31 eV per atom. The space group is R-3m. The value obtained for the volume is 25.7 A^3/atom.



Below is a geometry-optimized ZnCu2Bi2 structure, with properties calculated at the GGA-PBE level.

extended XYZ file:
```
10
Lattice="6.987 0.000 0.000 0.000 6.987 0.000 0.000 0.000 4.198" Properties=species:S:1:pos:R:3 pbc="T T T"
Zn 0.000 0.000 0.000
Zn 3.494 3.494 0.000
Cu 0.894 2.600 0.000
Cu 2.600 6.093 0.000
Cu 4.388 0.894 0.000
Cu 6.093 4.388 0.000
Bi 1.236 4.730 2.099
Bi 2.257 1.236 2.099
Bi 4.730 5.751 2.099
Bi 5.751 2.257 2.099
```

Properties
The formation energy is 0.20 eV per atom. The space group is P4/mbm. The value obtained for the volume is 20.5 A^3/atom. The calculation puts the relative energy among the computed polymorphs at 7 meV/atom.



Below is a geometry-optimized LiCuP2 structure, with properties calculated at the GGA-PBE level.

extended XYZ file:
```
4
Lattice="1.795 -2.027 0.000 1.795 2.027 0.000 0.000 0.000 7.465" Properties=species:S:1:pos:R:3 pbc="T T T"
Li 0.000 0.000 0.000
Cu 0.000 0.000 3.733
P 1.795 0.000 1.916
P 1.795 0.000 5.549
```

Properties
The formation energy is 0.00 eV per atom. The space group is Cmmm. The value obtained for the volume is 13.6 A^3/atom. The calculation puts the relative energy among the computed polymorphs at 168 meV/atom.



Below is a geometry-optimized Ce2ErPaAs5 structure, with properties calculated at the GGA-PBE level.

extended XYZ file:
```
9
Lattice="5.102 0.000 0.000 0.000 5.102 0.000 0.000 0.000 10.828" Properties=species:S:1:pos:R:3 pbc="T T T"
Ce 0.000 0.000 2.399
Ce 0.000 0.000 8.429
Er 2.551 2.551 5.414
Pa 2.551 2.551 0.000
As 0.000 0.000 5.414
As 0.000 2.551 0.000
As 2.551 0.000 0.000
As 2.551 2.551 2.755
As 2.551 2.551 8.073
```

Properties
The formation energy is -0.59 eV per atom. The space group is P4/mmm. The value obtained for the volume is 31.3 A^3/atom.



Below is a geometry-optimized CaAcPrHg structure, with properties calculated at the GGA-PBE level.

extended XYZ file:
```
4
Lattice="0.000 4.088 4.088 4.088 0.000 4.088 4.088 4.088 0.000" Properties=species:S:1:pos:R:3 pbc="T T T"
Ca 0.000 0.000 0.000
Ac 2.044 2.044 2.044
Pr 4.088 4.088 4.088
Hg 6.131 6.131 6.131
```

Properties
The formation energy is 0.03 eV per atom. The space group is F-43m. The value obtained for the volume is 34.1 A^3/atom. The calculation puts the relative energy among the computed polymorphs at 275 meV/atom.



Below is a geometry-optimized CoCl structure, with properties calculated at the GGA-PBE level.

extended XYZ file:
```
12
Lattice="6.478 0.000 0.000 0.000 6.478 0.000 0.000 0.000 6.478" Properties=species:S:1:pos:R:3 pbc="T T T"
Co 0.000 1.620 3.239
Co 0.000 4.859 3.239
Co 1.620 3.239 0.000
Co 3.239 0.000 1.620
Co 3.239 0.000 4.859
Co 4.859 3.239 0.000
Cl 0.000 3.239 1.620
Cl 0.000 3.239 4.859
Cl 1.620 0.000 3.239
Cl 3.239 1.620 0.000
Cl 3.239 4.859 0.000
Cl 4.859 0.000 3.239
```

Properties
The uncorrected formation energy is 0.213 eV per atom. The space group is Pm-3n. The value obtained for the volume is 22.7 A^3/atom.



Below is a geometry-optimized SmTh2Cu structure, with properties calculated at the GGA-PBE level.

extended XYZ file:
```
4
Lattice="1.822 1.052 10.052 -1.822 1.052 10.052 0.000 -2.104 10.052" Properties=species:S:1:pos:R:3 pbc="T T T"
Sm 0.000 0.000 0.000
Th 0.000 0.000 7.121
Th 0.000 0.000 23.036
Cu 0.000 0.000 15.079
```

Properties
The formation energy is 0.11 eV per atom. The space group is R-3m. The value obtained for the volume is 28.9 A^3/atom. The calculation puts the relative energy among the computed polymorphs at 89 meV/atom.



Below is a geometry-optimized CsTiP3 structure, with properties calculated at the GGA-PBE level.

extended XYZ file:
```
5
Lattice="4.905 0.000 0.000 0.000 4.905 0.000 0.000 0.000 4.905" Properties=species:S:1:pos:R:3 pbc="T T T"
Cs 0.000 0.000 0.000
Ti 2.453 2.453 2.453
P 0.000 2.453 2.453
P 2.453 0.000 2.453
P 2.453 2.453 0.000
```

Properties
The formation energy is -0.06 eV per atom. The space group is Pm-3m. The value obtained for the volume is 23.6 A^3/atom. The calculation puts the relative energy among the computed polymorphs at 0 meV/atom.



Below is a geometry-optimized Pa4Te5C2 structure, with properties calculated at the GGA-PBE level.

extended XYZ file:
```
11
Lattice="-2.004 4.059 8.899 2.004 -4.059 8.899 2.004 4.059 -8.899" Properties=species:S:1:pos:R:3 pbc="T T T"
Pa 0.000 0.000 3.013
Pa 2.004 1.590 0.000
Pa 0.000 2.469 8.899
Pa 0.000 0.000 14.785
Te 2.004 2.320 -2.964
Te 2.004 2.320 2.964
Te 0.000 4.059 0.000
Te 0.000 1.740 5.936
Te 0.000 1.740 11.863
C 0.000 0.000 0.716
C 0.000 0.000 17.082
```

Properties
The uncorrected formation energy is -0.689 eV per atom. The space group is Immm. The value obtained for the volume is 26.3 A^3/atom.



Below is a geometry-optimized Rb4Nd3DySe8 structure, with properties calculated at the GGA-PBE level.

extended XYZ file:
```
16
Lattice="4.345 2.509 8.020 -4.345 2.509 8.020 0.000 -5.017 8.020" Properties=species:S:1:pos:R:3 pbc="T T T"
Rb 0.000 0.000 0.000
Rb -2.172 -1.254 8.020
Rb -2.172 1.254 16.041
Rb 0.000 2.509 8.020
Nd -4.345 0.000 12.031
Nd -2.172 1.254 4.010
Nd 2.172 1.254 4.010
Dy 0.000 0.000 12.031
Se 0.000 0.000 5.631
Se -2.125 -1.227 13.625
Se 0.000 -2.454 10.437
Se -2.125 1.227 10.437
Se 2.125 -1.227 13.625
Se 0.000 2.454 13.625
Se 2.125 1.227 10.437
Se 0.000 0.000 18.431
```

Properties
The uncorrected formation energy is -1.733 eV per atom. The space group is R-3m. The value obtained for the volume is 32.8 A^3/atom.



Below is a geometry-optimized In2GePb2 structure, with properties calculated at the GGA-PBE level.

extended XYZ file:
```
5
Lattice="-2.053 2.053 8.791 2.053 -2.053 8.791 2.053 2.053 -8.791" Properties=species:S:1:pos:R:3 pbc="T T T"
In 2.053 0.000 4.396
In 0.000 2.053 4.396
Ge 0.000 0.000 0.000
Pb 0.000 0.000 7.197
Pb 0.000 0.000 10.386
```

Properties
The formation energy is 0.25 eV per atom. The space group is I4/mmm. The value obtained for the volume is 29.7 A^3/atom. The calculation puts the relative energy among the computed polymorphs at 92 meV/atom.



Below is a geometry-optimized CdIn2OsO8 structure, with properties calculated at the GGA-PBE level.

extended XYZ file:
```
12
Lattice="4.864 0.000 0.000 0.000 6.771 0.000 -0.209 0.000 4.874" Properties=species:S:1:pos:R:3 pbc="T T T"
Cd 0.000 0.000 0.000
In 2.328 1.672 2.437
In 2.328 5.099 2.437
Os 0.000 3.385 0.000
O 0.731 2.056 3.987
O 0.731 4.715 3.987
O 1.331 3.385 1.410
O 1.421 0.000 1.508
O 3.234 0.000 3.366
O 3.324 3.385 3.464
O 3.924 2.056 0.887
O 3.924 4.715 0.887
```

Properties
The uncorrected formation energy is -1.106 eV per atom. The space group is P2/m. The value obtained for the volume is 13.4 A^3/atom.



Below is a geometry-optimized Tb2Ga4GePd3 structure, with properties calculated at the GGA-PBE level.

extended XYZ file:
```
10
Lattice="4.158 0.000 0.000 0.000 4.158 0.000 0.000 0.000 10.942" Properties=species:S:1:pos:R:3 pbc="T T T"
Tb 0.000 2.079 2.717
Tb 2.079 0.000 8.225
Ga 0.000 0.000 0.000
Ga 0.000 2.079 7.007
Ga 2.079 0.000 3.936
Ga 2.079 2.079 0.000
Ge 0.000 0.000 5.471
Pd 0.000 2.079 9.449
Pd 2.079 0.000 1.493
Pd 2.079 2.079 5.471
```

Properties
The formation energy is -0.70 eV per atom. The space group is P-4m2. The value obtained for the volume is 18.9 A^3/atom.



Below is a geometry-optimized CaLa2HgO structure, with properties calculated at the GGA-PBE level.

extended XYZ file:
```
5
Lattice="5.082 0.000 0.000 0.000 5.082 0.000 0.000 0.000 4.858" Properties=species:S:1:pos:R:3 pbc="T T T"
Ca 0.000 0.000 0.000
La 0.000 2.541 2.429
La 2.541 0.000 2.429
Hg 2.541 2.541 0.000
O 0.000 0.000 2.429
```

Properties
The uncorrected formation energy is -1.345 eV per atom. The space group is P4/mmm. The value obtained for the volume is 25.1 A^3/atom.



Below is a geometry-optimized Cs5AgBr8 structure, with properties calculated at the GGA-PBE level.

extended XYZ file:
```
14
Lattice="-5.251 5.251 5.959 5.251 -5.251 5.959 5.251 5.251 -5.959" Properties=species:S:1:pos:R:3 pbc="T T T"
Cs 0.000 0.000 0.000
Cs 3.821 2.323 -1.290
Cs 2.928 -1.430 7.248
Cs 1.430 2.928 4.669
Cs 2.323 6.681 1.290
Ag 5.251 0.000 2.979
Br 7.263 1.195 -1.077
Br 2.826 -0.609 3.313
Br 2.425 5.859 -2.645
Br 1.195 3.239 1.077
Br 4.642 2.425 2.645
Br 4.056 2.012 7.036
Br -2.012 4.056 4.882
Br 0.609 2.826 8.604
```

Properties
The uncorrected formation energy is -1.268 eV per atom. The space group is I-4. The value obtained for the volume is 46.9 A^3/atom.